1.
VASP calculation (PBE) on crystalline Nd2Ge3SbPt4 at its relaxed geometry.

Values from the calculation:
Its density of states at the Fermi level is 5.70 states/eV/cell. The value obtained for the calculated volume is 20.380 A^3/atom. Its uncorrected formation energy is -846 kJ/mol of formula units. As for the total magnetization: 0.000 μB/cell. For the electronic total energy, the calculation gives -6.04 eV per atom. For the density, the calculation gives 11476 kg/m3.

a = 4.441 Å, b = 4.441 Å, c = 10.335 Å
α = 90.00°, β = 90.00°, γ = 90.00°
Space group P-4m2 (No. 115)
Inequivalent atoms, fractional coordinates:
Nd 0.000 0.500 0.236 [2 per cell]
Ge 0.000 0.500 0.876 [2 per cell]
Ge 0.500 0.500 0.500 [1 per cell]
Sb 0.000 0.000 0.500 [1 per cell]
Pt 0.000 0.000 0.000 [1 per cell]
Pt 0.000 0.500 0.638 [2 per cell]
Pt 0.500 0.500 0.000 [1 per cell]

2.
VASP calculation (PBE) on crystalline Nd2ScGe3Pt4 at its relaxed geometry.

Values from the calculation:
Its density of states at the Fermi level is 8.66 states/eV/cell. The value obtained for the calculated volume is 20.025 A^3/atom. As for the formation energy: -992 meV per atom. As for the total magnetization: 0.000 μB/cell. For the electronic total energy, the calculation gives -6.38 eV per atom. For the density, the calculation gives 11043 kg/m3.

a = 4.288 Å, b = 4.288 Å, c = 10.889 Å
α = 90.00°, β = 90.00°, γ = 90.00°
Space group P-4m2 (No. 115)
Inequivalent atoms, fractional coordinates:
Nd 0.000 0.500 0.232 [2 per cell]
Sc 0.000 0.000 0.500 [1 per cell]
Ge 0.000 0.500 0.872 [2 per cell]
Ge 0.500 0.500 0.500 [1 per cell]
Pt 0.000 0.000 0.000 [1 per cell]
Pt 0.000 0.500 0.645 [2 per cell]
Pt 0.500 0.500 0.000 [1 per cell]

3.
VASP calculation (PBE) on crystalline Nd2ScGe4Pt3 at its relaxed geometry.

Values from the calculation:
Its density of states at the Fermi level is 3.71 states/eV/cell. The value obtained for the calculated volume is 20.149 A^3/atom. As for the formation energy: -947 meV per atom. As for the total magnetization: 0.000 μB/cell. For the electronic total energy, the calculation gives -6.19 eV per atom. For the density, the calculation gives 9966 kg/m3.

a = 4.273 Å, b = 4.273 Å, c = 11.034 Å
α = 90.00°, β = 90.00°, γ = 90.00°
Space group P-4m2 (No. 115)
Inequivalent atoms, fractional coordinates:
Nd 0.000 0.500 0.240 [2 per cell]
Sc 0.000 0.000 0.500 [1 per cell]
Ge 0.000 0.000 0.000 [1 per cell]
Ge 0.000 0.500 0.650 [2 per cell]
Ge 0.500 0.500 0.000 [1 per cell]
Pt 0.000 0.500 0.877 [2 per cell]
Pt 0.500 0.500 0.500 [1 per cell]

4.
VASP calculation (PBE) on crystalline Nd6Ge2PtSe3 at its relaxed geometry.

Values from the calculation:
Its density of states at the Fermi level is 12.13 states/eV/cell. The value obtained for the calculated volume is 27.592 A^3/atom. Its uncorrected formation energy is -1615 kJ/mol of formula units. As for the total magnetization: 0.000 μB/cell. For the electronic total energy, the calculation gives -5.92 eV per atom. For the density, the calculation gives 7235 kg/m3.

a = 18.720 Å, b = 4.246 Å, c = 8.606 Å
α = 90.00°, β = 104.55°, γ = 90.00°
Space group C2/m (No. 12)
Inequivalent atoms, fractional coordinates:
Nd 0.002 0.000 0.245 [4 per cell]
Nd 0.165 0.500 0.090 [4 per cell]
Nd 0.169 0.500 0.578 [4 per cell]
Ge 0.165 0.000 0.332 [4 per cell]
Pt 0.000 0.500 0.000 [2 per cell]
Se 0.000 0.500 0.500 [2 per cell]
Se 0.168 0.000 0.833 [4 per cell]

5.
VASP calculation (PBE) on crystalline Nd6GePt2Se3 at its relaxed geometry.

Values from the calculation:
Its density of states at the Fermi level is 15.49 states/eV/cell. The value obtained for the calculated volume is 27.450 A^3/atom. Its uncorrected formation energy is -1625 kJ/mol of formula units. As for the total magnetization: 0.000 μB/cell. For the electronic total energy, the calculation gives -6.05 eV per atom. For the density, the calculation gives 7890 kg/m3.

a = 18.860 Å, b = 4.194 Å, c = 8.672 Å
α = 90.00°, β = 106.16°, γ = 90.00°
Space group C2/m (No. 12)
Inequivalent atoms, fractional coordinates:
Nd 0.002 0.000 0.247 [4 per cell]
Nd 0.165 0.500 0.093 [4 per cell]
Nd 0.171 0.500 0.573 [4 per cell]
Ge 0.000 0.500 0.000 [2 per cell]
Pt 0.167 0.000 0.333 [4 per cell]
Se 0.000 0.500 0.500 [2 per cell]
Se 0.164 0.000 0.835 [4 per cell]

6.
VASP calculation (PBE) on crystalline Nd2SiGe3Pt4 at its relaxed geometry.

Values from the calculation:
Its density of states at the Fermi level is 6.07 states/eV/cell. The value obtained for the calculated volume is 19.057 A^3/atom. Its uncorrected formation energy is -935 kJ/mol of formula units. As for the total magnetization: 0.000 μB/cell. For the electronic total energy, the calculation gives -6.27 eV per atom. For the density, the calculation gives 11457 kg/m3.

a = 4.375 Å, b = 4.375 Å, c = 9.955 Å
α = 90.00°, β = 90.00°, γ = 90.00°
Space group P-4m2 (No. 115)
Inequivalent atoms, fractional coordinates:
Nd 0.000 0.500 0.245 [2 per cell]
Si 0.500 0.500 0.000 [1 per cell]
Ge 0.000 0.000 0.000 [1 per cell]
Ge 0.000 0.500 0.632 [2 per cell]
Pt 0.000 0.000 0.500 [1 per cell]
Pt 0.000 0.500 0.883 [2 per cell]
Pt 0.500 0.500 0.500 [1 per cell]

> Look up the density of the fourth one.

7235 kg/m3

Please write out number 6 again, unchanged.
VASP calculation (PBE) on crystalline Nd2SiGe3Pt4 at its relaxed geometry.

Values from the calculation:
Its density of states at the Fermi level is 6.07 states/eV/cell. The value obtained for the calculated volume is 19.057 A^3/atom. Its uncorrected formation energy is -935 kJ/mol of formula units. As for the total magnetization: 0.000 μB/cell. For the electronic total energy, the calculation gives -6.27 eV per atom. For the density, the calculation gives 11457 kg/m3.

a = 4.375 Å, b = 4.375 Å, c = 9.955 Å
α = 90.00°, β = 90.00°, γ = 90.00°
Space group P-4m2 (No. 115)
Inequivalent atoms, fractional coordinates:
Nd 0.000 0.500 0.245 [2 per cell]
Si 0.500 0.500 0.000 [1 per cell]
Ge 0.000 0.000 0.000 [1 per cell]
Ge 0.000 0.500 0.632 [2 per cell]
Pt 0.000 0.000 0.500 [1 per cell]
Pt 0.000 0.500 0.883 [2 per cell]
Pt 0.500 0.500 0.500 [1 per cell]